No. 1
DFT (GGA-PBE) results for an optimized crystal structure of CeZnSi2Au5.

Cell: 4.521 4.521 9.577 Å, 90.00 90.00 90.00°
Space group P4/mmm (No. 123)
Unique sites:
Ce1 0.000 0.000 0.000 [1 per cell]
Zn1 0.000 0.000 0.500 [1 per cell]
Si1 0.500 0.500 0.246 [2 per cell]
Au1 0.000 0.500 0.341 [4 per cell]
Au2 0.500 0.500 0.000 [1 per cell]

Values from the calculation:
ΔE_f (raw) = -0.19 eV per atom
raw total energy = -4.020 eV per atom
total magnetic moment = 1.3 μB per formula unit
V = 21.8 Å³ per atom

=====

No. 2
DFT (GGA-PBE) results for an optimized crystal structure of Ce2Zn4Si3Au.

Cell: 4.207 4.207 10.482 Å, 90.00 90.00 90.00°
Space group P-4m2 (No. 115)
Unique sites:
Ce1 0.000 0.500 0.247 [2 per cell]
Zn1 0.000 0.000 0.000 [1 per cell]
Zn2 0.000 0.500 0.638 [2 per cell]
Zn3 0.500 0.500 0.000 [1 per cell]
Si1 0.000 0.500 0.865 [2 per cell]
Si2 0.500 0.500 0.500 [1 per cell]
Au1 0.000 0.000 0.500 [1 per cell]

Values from the calculation:
ΔE_f (raw) = -0.39 eV per atom
raw total energy = -4.041 eV per atom
total magnetic moment = 1.8 μB per formula unit
V = 18.5 Å³ per atom

=====

No. 3
DFT (GGA-PBE) results for an optimized crystal structure of Ce5SmAu6.

Cell: 16.352 7.465 5.196 Å, 90.00 108.50 90.00°
Space group C2/m (No. 12)
Unique sites:
Ce1 0.000 0.000 0.000 [2 per cell]
Ce2 0.156 0.000 0.655 [4 per cell]
Ce3 0.176 0.500 0.675 [4 per cell]
Sm1 0.000 0.500 0.000 [2 per cell]
Au1 0.000 0.274 0.500 [4 per cell]
Au2 0.165 0.264 0.164 [8 per cell]

Values from the calculation:
raw total energy = -5.131 eV per atom
formation energy = -0.626 eV per atom
total magnetic moment = 5.3 μB per formula unit
V = 25.1 Å³ per atom